A) This record from Alexandria describes LaTa2 after structural relaxation. The functional is PBE.

ρ = 10.72 Mg/m³
total magnetization = 0.00 μB per cell
space group = I4_1/amd (141)

extended XYZ file:
```
12
Lattice="4.282 0.000 0.000 0.000 4.279 0.000 0.000 0.000 16.943" Properties=species:S:1:pos:R:3 pbc="T T T"
Ta 2.141 3.209 11.926
La 2.141 3.209 2.118
Ta 0.000 3.209 13.488
Ta 2.141 1.070 5.017
Ta 2.141 1.070 7.689
Ta 0.000 1.070 3.454
La 0.000 1.070 10.589
Ta 2.141 3.209 9.253
Ta 0.000 3.209 16.160
La 2.141 1.070 14.825
Ta 0.000 1.070 0.782
La 0.000 3.209 6.354
```

---

B) This record from Alexandria describes LaTa2 after structural relaxation. The functional is PBE.

ρ = 11.81 Mg/m³
total magnetization = 0.00 μB per cell
space group = P-62m (189)

extended XYZ file:
```
6
Lattice="2.837 -4.914 0.000 2.837 4.914 0.000 0.000 0.000 5.051" Properties=species:S:1:pos:R:3 pbc="T T T"
Ta 0.000 0.000 0.000
Ta 0.789 -1.367 2.525
Ta 0.789 1.367 2.525
La 2.837 1.638 0.000
La 2.837 -1.638 0.000
Ta 4.096 0.000 2.525
```

---

It turns out B) is the most stable, with the second structure 264 meV/atom higher.

---

A) This record from Alexandria describes LaTa2 after structural relaxation. The functional is PBE.

ρ = 12.04 Mg/m³
total magnetization = 0.00 μB per cell
space group = P-3m1 (164)

extended XYZ file:
```
6
Lattice="-1.161 0.190 2.998 0.977 -2.836 -1.171 14.178 2.688 5.320" Properties=species:S:1:pos:R:3 pbc="T T T"
La 5.730 -0.791 2.269
La 8.265 0.833 4.877
Ta 11.476 0.298 4.425
Ta 2.519 -0.256 2.721
Ta 12.737 1.681 6.555
Ta 1.258 -1.639 0.591
```

---

B) This record from Alexandria describes LaTa2 after structural relaxation. The functional is PBE.

ρ = 11.24 Mg/m³
total magnetization = 0.00 μB per cell
space group = Immm (71)

extended XYZ file:
```
6
Lattice="1.662 7.879 0.204 -1.662 7.879 0.204 0.000 2.236 5.707" Properties=species:S:1:pos:R:3 pbc="T T T"
Ta 0.000 8.423 1.594
Ta 0.000 9.571 4.520
Ta 0.000 2.565 2.286
La 0.000 13.346 1.352
La 0.000 4.649 4.761
Ta 0.000 15.429 3.828
```

---

It turns out B) is the most stable, with the second structure 103 meV/atom higher.

---

A) This record from Alexandria describes LaTa2 after structural relaxation. The functional is PBE.

ρ = 12.61 Mg/m³
total magnetization = 0.00 μB per cell
space group = P-6m2 (187)

extended XYZ file:
```
6
Lattice="-2.547 -1.534 -0.748 1.479 -0.661 2.603 -8.929 10.991 7.862" Properties=species:S:1:pos:R:3 pbc="T T T"
La -1.561 1.922 1.375
Ta -4.358 2.638 3.145
Ta -6.981 5.867 5.455
Ta -1.205 -1.243 0.369
Ta -4.465 5.496 3.931
La -7.368 9.070 6.488
```

---

B) This record from Alexandria describes LaTa2 after structural relaxation. The functional is PBE.

ρ = 11.89 Mg/m³
total magnetization = 0.00 μB per cell
space group = P-62m (189)

extended XYZ file:
```
9
Lattice="3.377 1.590 5.776 -6.370 -2.571 0.338 1.924 -4.743 0.181" Properties=species:S:1:pos:R:3 pbc="T T T"
La 0.962 -2.372 0.090
Ta -0.536 -2.863 3.152
La 0.128 0.203 3.964
Ta -2.218 -3.655 0.259
Ta -1.470 -0.593 0.078
Ta 2.648 -1.578 2.974
La -3.121 -1.184 2.151
Ta -2.302 -0.755 4.704
Ta 0.779 0.367 1.333
```

---

C) This record from Alexandria describes LaTa2 after structural relaxation. The functional is PBE.

ρ = 12.15 Mg/m³
total magnetization = 0.00 μB per cell
space group = Amm2 (38)

extended XYZ file:
```
6
Lattice="1.485 -8.959 0.000 1.485 8.959 0.000 0.000 0.000 5.146" Properties=species:S:1:pos:R:3 pbc="T T T"
La 1.485 -8.674 0.000
Ta 1.485 3.205 0.000
Ta 1.485 4.621 2.573
La 1.485 -2.779 0.000
Ta 1.485 -6.744 2.573
Ta 1.485 -1.574 2.573
```

---

D) This record from Alexandria describes LaTa2 after structural relaxation. The functional is PBE.

ρ = 11.69 Mg/m³
total magnetization = 0.00 μB per cell
space group = Pnma (62)

extended XYZ file:
```
12
Lattice="-4.079 -4.848 -0.325 2.290 -2.170 3.634 -5.591 4.297 6.089" Properties=species:S:1:pos:R:3 pbc="T T T"
Ta -2.699 -2.079 2.053
La -2.315 -5.402 3.013
La -5.066 2.680 6.386
Ta -1.052 0.646 2.642
Ta -7.166 0.502 6.409
Ta -4.681 -0.642 7.346
Ta -6.329 -3.368 6.757
Ta -0.215 -3.224 2.990
La -2.030 -1.629 5.086
Ta -4.335 -4.050 5.093
La -5.351 -1.093 4.313
Ta -3.046 1.328 4.306
```

---

It turns out D) is the most stable, with the second structure 18 meV/atom higher.

---

A) This record from Alexandria describes LaTa2 after structural relaxation. The functional is PBE.

ρ = 11.51 Mg/m³
total magnetization = 0.00 μB per cell
space group = Cm (8)

extended XYZ file:
```
6
Lattice="1.498 5.725 -0.048 -1.498 5.725 -0.048 0.000 0.262 8.425" Properties=species:S:1:pos:R:3 pbc="T T T"
Ta 0.000 7.822 5.470
Ta 0.000 6.398 3.136
La 0.000 3.500 2.460
Ta 0.000 10.899 5.206
La 0.000 0.708 0.083
Ta 0.000 3.859 7.241
```

---

B) This record from Alexandria describes LaTa2 after structural relaxation. The functional is PBE.

ρ = 11.82 Mg/m³
total magnetization = 0.00 μB per cell
space group = C2/m (12)

extended XYZ file:
```
6
Lattice="-1.390 -5.185 -1.520 1.816 -5.257 -0.436 -2.384 -4.077 6.774" Properties=species:S:1:pos:R:3 pbc="T T T"
Ta -1.946 -3.391 5.527
Ta 0.003 -3.768 -0.262
Ta -0.012 -11.128 -0.710
La -0.688 -8.443 1.469
La -1.270 -6.076 3.349
Ta -1.962 -10.751 5.080
```

---

C) This record from Alexandria describes LaTa2 after structural relaxation. The functional is PBE.

ρ = 12.54 Mg/m³
total magnetization = 0.00 μB per cell
space group = P6_3/mmc (194)

extended XYZ file:
```
6
Lattice="-1.439 2.216 4.296 -0.567 -4.978 -0.583 5.492 -0.895 2.302" Properties=species:S:1:pos:R:3 pbc="T T T"
Ta 2.746 -0.447 1.151
Ta 0.000 0.000 0.000
Ta 3.262 -3.251 2.770
La 2.971 -0.853 4.396
Ta 0.225 -0.405 3.245
La 0.515 -2.804 1.619
```

---

It turns out B) is the most stable, with the second structure 192 meV/atom higher.

---

A) This record from Alexandria describes La4Ta3 after structural relaxation. The functional is PBE.

ρ = 9.92 Mg/m³
total magnetization = 0.00 μB per cell
space group = P6/mmm (191)

extended XYZ file:
```
7
Lattice="-5.321 1.982 -0.685 1.495 -2.546 4.898 1.825 5.738 2.426" Properties=species:S:1:pos:R:3 pbc="T T T"
La 0.476 1.497 0.633
La 0.135 1.832 4.250
La -2.137 3.341 2.389
Ta -2.660 0.991 -0.342
Ta -1.913 -0.282 2.107
Ta 0.747 -1.273 2.449
La 1.349 4.241 1.793
```

---

B) This record from Alexandria describes La4Ta3 after structural relaxation. The functional is PBE.

ρ = 9.30 Mg/m³
total magnetization = 0.00 μB per cell
space group = I4/mmm (139)

extended XYZ file:
```
7
Lattice="9.561 -12.729 3.950 11.332 -9.452 7.163 -12.106 10.359 -3.895" Properties=species:S:1:pos:R:3 pbc="T T T"
La 17.486 -18.564 9.300
La 9.068 -9.627 4.823
La 3.407 -3.617 1.812
Ta 15.251 -16.191 8.112
Ta 0.000 0.000 0.000
Ta 5.642 -5.990 3.001
La 11.825 -12.554 6.289
```

---

It turns out B) is the most stable, with the second structure 51 meV/atom higher.

---

A) This record from Alexandria describes LaTa3Tc after structural relaxation. The functional is PBE.

ρ = 11.56 Mg/m³
total magnetization = 0.00 μB per cell
space group = Pm-3m (221)

extended XYZ file:
```
5
Lattice="-2.649 3.635 1.732 -2.187 0.442 -4.272 -3.381 -3.134 1.407" Properties=species:S:1:pos:R:3 pbc="T T T"
Ta -1.324 1.818 0.866
Ta -1.691 -1.567 0.703
Tc -4.109 0.472 -0.567
La 0.000 0.000 0.000
Ta -1.094 0.221 -2.136
```

---

B) This record from Alexandria describes LaTa3Tc after structural relaxation. The functional is PBE.

ρ = 10.88 Mg/m³
total magnetization = 0.00 μB per cell
space group = Pm-3m (221)

extended XYZ file:
```
5
Lattice="-1.674 -2.370 3.971 1.802 -4.224 -1.761 4.259 0.856 2.306" Properties=species:S:1:pos:R:3 pbc="T T T"
Tc 0.000 0.000 0.000
Ta -0.837 -1.185 1.986
La 2.194 -2.869 2.258
Ta 0.901 -2.112 -0.880
Ta 2.129 0.428 1.153
```

---

It turns out B) is the most stable, with the second structure 1804 meV/atom higher.

---

A) This record from Alexandria describes La2Ta2Tc after structural relaxation. The functional is PBE.

ρ = 10.37 Mg/m³
total magnetization = 0.00 μB per cell
space group = I4/mmm (139)

extended XYZ file:
```
5
Lattice="3.893 0.000 0.000 0.000 3.893 0.000 1.946 1.946 7.796" Properties=species:S:1:pos:R:3 pbc="T T T"
Ta 1.946 1.946 1.178
Ta 3.893 3.893 6.618
La 1.946 3.893 3.898
Tc 0.000 0.000 0.000
La 3.893 1.946 3.898
```

---

B) This record from Alexandria describes La2Ta2Tc after structural relaxation. The functional is PBE.

ρ = 10.02 Mg/m³
total magnetization = 0.00 μB per cell
space group = P4/mbm (127)

extended XYZ file:
```
10
Lattice="-0.928 -2.428 6.162 -4.142 -4.643 -2.453 4.226 -3.399 -0.703" Properties=species:S:1:pos:R:3 pbc="T T T"
Ta -3.854 -4.808 0.079
La -0.817 -5.220 -0.949
La -0.026 -5.250 3.955
Tc 0.000 0.000 0.000
La -1.948 -7.181 1.737
La 1.104 -3.289 1.269
Ta -1.215 -2.262 3.631
Tc -2.535 -3.535 1.855
Ta -1.595 -1.993 0.051
Ta -3.475 -5.077 3.659
```

---

It turns out B) is the most stable, with the second structure 972 meV/atom higher.

---

A) This record from Alexandria describes La2Ta2Te after structural relaxation. The functional is PBE.

ρ = 9.67 Mg/m³
total magnetization = 0.00 μB per cell
space group = P4/mbm (127)

extended XYZ file:
```
10
Lattice="-0.721 5.345 5.158 -5.160 -4.089 3.516 3.386 -2.045 2.592" Properties=species:S:1:pos:R:3 pbc="T T T"
Ta -2.032 -0.879 1.961
La -0.561 2.055 6.668
Ta -1.087 2.828 3.650
Te -2.941 0.628 4.337
Te 0.000 0.000 0.000
La -1.934 -2.843 4.598
Ta -3.849 2.136 6.713
La -3.037 -0.758 7.683
Ta -4.794 -1.571 5.024
La 0.542 -0.029 3.583
```

---

B) This record from Alexandria describes La2Ta2Te after structural relaxation. The functional is PBE.

ρ = 8.98 Mg/m³
total magnetization = 0.00 μB per cell
space group = I4/mmm (139)

extended XYZ file:
```
5
Lattice="4.675 0.000 0.000 0.000 4.675 0.000 2.338 2.338 6.492" Properties=species:S:1:pos:R:3 pbc="T T T"
Ta 4.675 4.675 5.315
Ta 2.338 2.338 1.178
La 4.675 2.338 3.246
La 2.338 4.675 3.246
Te 0.000 0.000 0.000
```

---

It turns out A) is the most stable, with the second structure 855 meV/atom higher.

---

A) This record from Alexandria describes LaTaTe after structural relaxation. The functional is PBE.

ρ = 9.16 Mg/m³
total magnetization = 0.00 μB per cell
space group = P3m1 (156)

extended XYZ file:
```
3
Lattice="3.618 0.000 0.000 -1.809 3.133 0.000 0.000 0.000 7.157" Properties=species:S:1:pos:R:3 pbc="T T T"
Te 0.000 2.089 4.476
La 0.000 0.000 0.093
Ta 1.809 1.044 2.588
```

---

B) This record from Alexandria describes LaTaTe after structural relaxation. The functional is PBE.

ρ = 9.32 Mg/m³
total magnetization = 0.00 μB per cell
space group = P-6m2 (187)

extended XYZ file:
```
3
Lattice="-0.966 4.219 2.195 -2.944 -3.803 0.648 2.123 -1.119 3.085" Properties=species:S:1:pos:R:3 pbc="T T T"
Ta -0.564 0.986 3.222
La 2.123 -1.118 3.085
Te -1.223 -1.688 2.706
```

---

C) This record from Alexandria describes LaTaTe after structural relaxation. The functional is PBE.

ρ = 9.56 Mg/m³
total magnetization = 0.00 μB per cell
space group = I4mm (107)

extended XYZ file:
```
3
Lattice="-2.108 6.064 -1.369 -4.739 4.514 0.505 0.853 1.998 2.849" Properties=species:S:1:pos:R:3 pbc="T T T"
La -6.791 10.517 -0.837
Te -4.528 7.994 0.254
Ta -1.521 4.644 1.704
```

---

It turns out C) is the most stable, with the second structure 134 meV/atom higher.

---

A) This record from Alexandria describes LaTaTi2 after structural relaxation. The functional is PBE.

ρ = 8.02 Mg/m³
total magnetization = 0.00 μB per cell
space group = P4/mmm (123)

extended XYZ file:
```
4
Lattice="-0.447 -2.460 -2.418 2.827 1.137 -1.679 4.042 -4.457 3.788" Properties=species:S:1:pos:R:3 pbc="T T T"
Ta 1.190 -0.662 -2.048
Ti 0.784 -0.865 0.735
Ti 3.258 -3.592 3.053
La 3.211 -2.890 -0.155
```

---

B) This record from Alexandria describes LaTaTi2 after structural relaxation. The functional is PBE.

ρ = 7.73 Mg/m³
total magnetization = 0.00 μB per cell
space group = I-42d (122)

extended XYZ file:
```
8
Lattice="4.237 0.000 0.000 0.000 4.237 0.000 2.118 2.118 9.941" Properties=species:S:1:pos:R:3 pbc="T T T"
Ti 5.296 3.085 7.456
La 2.118 4.237 4.971
Ti 3.271 3.178 2.485
Ti 0.966 1.059 2.485
Ti 3.178 5.389 7.456
Ta 0.000 0.000 0.000
Ta 4.237 2.118 4.971
La 2.118 2.118 0.000
```

---

It turns out A) is the most stable, with the second structure 644 meV/atom higher.

---

A) This record from Alexandria describes La2TaTl after structural relaxation. The functional is PBE.

ρ = 9.52 Mg/m³
total magnetization = 1.01 μB per cell
space group = I-42d (122)

extended XYZ file:
```
8
Lattice="8.584 0.000 0.000 0.000 8.584 0.000 4.292 4.292 3.140" Properties=species:S:1:pos:R:3 pbc="T T T"
Ta 4.292 8.584 1.570
La 2.377 6.438 0.785
La 6.438 6.669 2.355
Tl 8.584 4.292 1.570
La 10.729 10.499 2.355
La 6.207 2.146 0.785
Tl 0.000 0.000 0.000
Ta 4.292 4.292 0.000
```

---

B) This record from Alexandria describes La2TaTl after structural relaxation. The functional is PBE.

ρ = 9.80 Mg/m³
total magnetization = 0.00 μB per cell
space group = P4mm (99)

extended XYZ file:
```
4
Lattice="-2.358 -0.522 -2.226 -0.213 -3.134 0.960 -7.220 2.644 7.029" Properties=species:S:1:pos:R:3 pbc="T T T"
La -3.430 -1.043 1.455
Ta -3.778 1.384 3.678
La -6.925 2.537 6.742
Tl -6.488 0.078 4.432
```

---

It turns out B) is the most stable, with the second structure 254 meV/atom higher.